Entry 1:
A plane-wave DFT calculation with PBE was carried out for a relaxed RbCdIn2Ru crystal.

Unit cell a=5.2277 b=5.2277 c=5.4117 alpha=90.00 beta=90.00 gamma=90.00
With the nearest neighbours (Å) after each atom.
Space group P4/mmm (No. 123)
Unique sites:
1 Rb 0.0000 0.0000 0.0000 [1 per cell]  4 Cd 3.70, 8 In 3.76
2 Cd 0.5000 0.5000 0.0000 [1 per cell]  2 Ru 2.71
3 In 0.0000 0.5000 0.5000 [2 per cell]  2 Ru 2.61
4 Ru 0.5000 0.5000 0.5000 [1 per cell]  4 In 2.61, 2 Cd 2.71

## Properties
The calculation puts the energy of formation from the pure elements at -0.045 eV per atom.

Entry 2:
A plane-wave DFT calculation with PBE was carried out for a relaxed CaMgTcH2 crystal.

Unit cell a=3.0295 b=3.2484 c=13.9349 alpha=90.00 beta=90.00 gamma=90.00
With the nearest neighbours (Å) after each atom.
Space group Imm2 (No. 44)
Unique sites:
1 Ca 0.0000 0.0000 0.0000 [2 per cell]  6 H 2.24-2.38
2 Mg 0.0000 0.0000 0.2925 [2 per cell]  1 H 2.03
3 Tc 0.0000 0.0000 0.6730 [2 per cell]  2 H 1.79
4 H 0.0000 0.0000 0.4382 [2 per cell]  1 Mg 2.03
5 H 0.0000 0.5000 0.6183 [2 per cell]  2 Tc 1.79

## Properties
The value obtained for the raw total energy is -41.39 eV/cell.

Entry 3:
A plane-wave DFT calculation with PBE was carried out for a relaxed Fe2SiPPb crystal.

Unit cell a=4.9399 b=4.9399 c=5.1650 alpha=90.00 beta=90.00 gamma=90.00
With the nearest neighbours (Å) after each atom.
Space group P4/mmm (No. 123)
Unique sites:
1 Fe 0.0000 0.5000 0.0000 [2 per cell]  2 Pb 2.47
2 Si 0.0000 0.0000 0.5000 [1 per cell]  4 P 3.49, 8 Fe 3.57
3 P 0.5000 0.5000 0.5000 [1 per cell]  2 Pb 2.58
4 Pb 0.5000 0.5000 0.0000 [1 per cell]  4 Fe 2.47, 2 P 2.58

## Properties
The value obtained for the raw total energy is -22.22 eV/cell.

Entry 4:
A plane-wave DFT calculation with PBE was carried out for a relaxed LaPrBiO2 crystal.

Unit cell a=4.0752 b=4.0752 c=14.2297 alpha=90.00 beta=90.00 gamma=90.00
With the nearest neighbours (Å) after each atom.
Space group I4mm (No. 107)
Unique sites:
1 La 0.0000 0.0000 0.0000 [2 per cell]  4 O 2.36
2 Pr 0.0000 0.0000 0.6694 [2 per cell]  4 O 2.37
3 Bi 0.0000 0.0000 0.3321 [2 per cell]  4 Pr 3.70, 4 La 3.74, 8 O 4.07-4.13, 4 Bi 4.08
4 O 0.0000 0.5000 0.0844 [4 per cell]  2 La 2.36, 2 Pr 2.37

## Properties
The value obtained for the raw total energy is -73.15 eV/cell.

Entry 5:
A plane-wave DFT calculation with PBE was carried out for a relaxed Nd7Dy2Tm4 crystal.

Unit cell a=6.1806 b=6.1806 c=13.1216 alpha=90.00 beta=90.00 gamma=120.00
With the nearest neighbours (Å) after each atom.
Space group P-31m (No. 162)
Unique sites:
1 Nd 0.0000 0.0000 0.0000 [1 per cell]  6 Dy 3.57, 6 Nd 3.75
2 Nd 0.0000 0.3743 0.2247 [6 per cell]  1 Tm 3.19, 4 Nd 3.37, 2 Dy 3.53
3 Dy 0.3333 0.6667 0.0000 [2 per cell]  9 Nd 3.53-3.57, 3 Dy 3.57
4 Tm 0.0000 0.0000 0.3922 [2 per cell]  1 Tm 2.83
5 Tm 0.3333 0.6667 0.5000 [2 per cell]  9 Tm 3.57-3.84

## Properties
The calculation puts the energy of formation from the pure elements at 0.176 eV per atom.

Entry 6:
A plane-wave DFT calculation with PBE was carried out for a relaxed SrY2Co crystal.

Unit cell a=6.5401 b=11.2902 c=3.5130 alpha=90.00 beta=117.92 gamma=90.00
With the nearest neighbours (Å) after each atom.
Space group C2/m (No. 12)
Unique sites:
1 Sr 0.0000 0.0000 0.0000 [2 per cell]  4 Co 3.27-3.50, 4 Y 3.32, 2 Sr 3.51
2 Y 0.2500 0.2500 0.5000 [4 per cell]  6 Y 3.27-3.51, 2 Co 3.32, 2 Sr 3.32
3 Co 0.0000 0.5000 0.0000 [2 per cell]  4 Sr 3.27-3.50, 4 Y 3.32, 2 Co 3.51

## Properties
The calculation puts the energy of formation from the pure elements at 0.594 eV per atom.